(1)
## Ba2Li2HgO4 (PBE-GGA)

Data for a relaxed Ba2Li2HgO4 crystal.

```
9
Lattice="6.8953 -1.7554 0.0000 6.8953 1.7554 0.0000 -1.6535 0.0000 5.8122" Properties=species:S:1:pos:R:3 pbc="T T T"
Ba 1.7586 0.0000 0.3488
Ba 10.3784 0.0000 5.4634
Li 3.6196 0.0000 2.7759
Li 8.5174 0.0000 3.0363
Hg -0.8268 0.0000 2.9061
O 1.9471 0.0000 4.1264
O 5.1831 0.0000 4.2163
O 6.9539 0.0000 1.5958
O 10.1899 0.0000 1.6858
```

The formation energy from raw total energies is -1705 meV per atom. The total magnetic moment comes out at 0.000 μB per atom. Its uncorrected energy is -43.2 eV per formula unit.

=====

(2)
## Tb8NdSc3 (PBE-GGA)

Data for a relaxed Tb8NdSc3 crystal.

```
12
Lattice="6.6083 0.0000 0.0000 -1.9044 6.8602 0.0000 -0.8820 -3.9333 8.0955" Properties=species:S:1:pos:R:3 pbc="T T T"
Tb 0.0000 0.0000 0.0000
Tb -0.9424 3.4614 0.0185
Tb -0.4264 -0.1088 4.9458
Tb 0.8532 2.1247 2.7045
Tb 1.4425 -1.4142 7.6621
Tb 2.8470 0.8272 5.4018
Tb 4.1641 1.1776 2.2507
Tb 3.2853 4.6234 2.2541
Nd 1.8349 4.2194 5.3980
Sc -1.4116 3.3119 4.9514
Sc -0.0358 5.5497 2.6898
Sc 0.4443 1.9915 7.6532
```

The total magnetic moment comes out at 0.000 μB per atom. Its uncorrected energy is -60.4 eV per formula unit.

=====

(3)
## TbPm3Ho (PBE-GGA)

Data for a relaxed TbPm3Ho crystal.

```
10
Lattice="6.2398 -2.9298 0.0000 6.2398 2.9298 0.0000 -3.3359 0.0000 9.1121" Properties=species:S:1:pos:R:3 pbc="T T T"
Tb -0.5460 0.0000 3.1800
Tb 9.6897 0.0000 5.9322
Pm 1.7830 0.0000 0.3718
Pm 0.8553 0.0000 6.6386
Pm 3.0713 0.0000 3.7993
Pm 6.0724 0.0000 5.3128
Pm 8.2884 0.0000 2.4735
Pm 7.3608 0.0000 8.7404
Ho 5.1764 0.0000 1.2106
Ho 3.9673 0.0000 7.9015
```

The total magnetic moment comes out at 0.000 μB per atom. Its uncorrected energy is -22.9 eV per formula unit.

=====

(4)
## FeCuSe2 (PBE-GGA)

Data for a relaxed FeCuSe2 crystal.

```
8
Lattice="7.1273 0.0000 0.0000 0.0000 7.1288 0.0000 -0.5352 0.0000 2.8106" Properties=species:S:1:pos:R:3 pbc="T T T"
Fe 0.0000 0.0000 0.0000
Fe 3.5637 3.5644 0.0000
Cu 0.0000 3.5644 0.0000
Cu 3.5637 0.0000 0.0000
Se 1.7818 1.7822 0.0000
Se 1.7818 5.3466 0.0000
Se 5.3455 1.7822 0.0000
Se 5.3455 5.3466 0.0000
```

The formation energy from raw total energies is 225 meV per atom. The total magnetic moment comes out at 0.814 μB per atom. Its uncorrected energy is -18.6 eV per formula unit.

=====

Question: uncorrected energy of number 3 (TbPm3Ho)?
Answer: -22.9 eV per formula unit

=====

Question: Among the records above, which one has the highest uncorrected energy?
Answer: FeCuSe2